1.
Entry from Alexandria: an optimized crystal structure of La2NdHfAs4 (PBE).

Values from the calculation:
calculated density = 7.14 Mg/m³
calculated formation energy = -1.39 eV per atom
spin magnetization = 0.000 μB per cell

Cell and atoms, written as CIF:
```
data_La2NdHfAs4
_cell_length_a 7.262
_cell_length_b 4.186
_cell_length_c 7.288
_cell_angle_alpha 90.00
_cell_angle_beta 109.16
_cell_angle_gamma 90.00
_symmetry_space_group_name_H-M 'P 1 2/m 1'
_symmetry_Int_Tables_number 10
loop_
_symmetry_equiv_pos_as_xyz
'x,y,z'
'-x,-y,-z'
'-x,y,-z'
'x,-y,z'
loop_
_atom_site_label
_atom_site_fract_x
_atom_site_fract_y
_atom_site_fract_z
_atom_site_occupancy
La1 0.000 0.000 0.000 1
La2 0.500 0.500 0.000 1
Nd1 0.000 0.500 0.500 1
Hf1 0.500 0.000 0.500 1
As1 0.260 0.000 0.734 1
As2 0.272 0.500 0.275 1
```

2.
Entry from Alexandria: an optimized crystal structure of LaHfAs2O8 (PBE).

Values from the calculation:
calculated density = 5.95 Mg/m³
spin magnetization = 0.000 μB per cell
formation energy without anion corrections = -2.183 eV per atom

Cell and atoms, written as CIF:
```
data_LaHfAs2O8
_cell_length_a 7.165
_cell_length_b 7.165
_cell_length_c 6.469
_cell_angle_alpha 90.00
_cell_angle_beta 90.00
_cell_angle_gamma 90.00
_symmetry_space_group_name_H-M 'I -4 m 2'
_symmetry_Int_Tables_number 119
_symmetry_space_group_name_Hall 'I -4 -2'
loop_
_atom_site_label
_atom_site_fract_x
_atom_site_fract_y
_atom_site_fract_z
_atom_site_occupancy
La1 0.000 0.000 0.000 1
Hf1 0.000 0.500 0.750 1
As1 0.000 0.000 0.500 1
As2 0.000 0.500 0.250 1
O1 0.000 0.205 0.680 1
O2 0.000 0.328 0.065 1
```

3.
Entry from Alexandria: an optimized crystal structure of LaHfAsP2 (PBE).

Values from the calculation:
calculated density = 6.03 Mg/m³
calculated formation energy = -0.63 eV per atom
spin magnetization = 0.000 μB per cell

Cell and atoms, written as CIF:
```
data_LaHfAsP2
_cell_length_a 4.938
_cell_length_b 4.938
_cell_length_c 5.132
_cell_angle_alpha 90.00
_cell_angle_beta 90.00
_cell_angle_gamma 90.00
_symmetry_space_group_name_H-M 'P 4/m m m'
_symmetry_Int_Tables_number 123
_symmetry_space_group_name_Hall '-P 4 2'
loop_
_atom_site_label
_atom_site_fract_x
_atom_site_fract_y
_atom_site_fract_z
_atom_site_occupancy
La1 0.000 0.000 0.000 1
Hf1 0.500 0.500 0.500 1
As1 0.500 0.500 0.000 1
P1 0.000 0.500 0.500 1
```

4.
Entry from Alexandria: an optimized crystal structure of La2HfAs4Pd3 (PBE).

Values from the calculation:
calculated density = 8.54 Mg/m³
calculated formation energy = -0.94 eV per atom
spin magnetization = 0.000 μB per cell

Cell and atoms, written as CIF:
```
data_La2HfAs4Pd3
_cell_length_a 4.445
_cell_length_b 4.445
_cell_length_c 10.583
_cell_angle_alpha 90.00
_cell_angle_beta 90.00
_cell_angle_gamma 90.00
_symmetry_space_group_name_H-M 'P -4 m 2'
_symmetry_Int_Tables_number 115
loop_
_symmetry_equiv_pos_as_xyz
'x,y,z'
'y,-x,-z'
'-x,-y,z'
'-y,x,-z'
'-x,y,z'
'-y,-x,-z'
'x,-y,z'
'y,x,-z'
loop_
_atom_site_label
_atom_site_fract_x
_atom_site_fract_y
_atom_site_fract_z
_atom_site_occupancy
La1 0.000 0.500 0.224 1
Hf1 0.000 0.000 0.500 1
As1 0.000 0.000 0.000 1
As2 0.000 0.500 0.642 1
As3 0.500 0.500 0.000 1
Pd1 0.000 0.500 0.880 1
Pd2 0.500 0.500 0.500 1
```